DFT (PBE) results for crystalline BeTcTe2 at its relaxed geometry.

Properties
* formation energy from raw total energies: 0.483 eV/atom
* crystal system: orthorhombic

abc: 3.185 4.230 12.460
angles: 90.00 90.00 90.00
Fractional coordinates of all 8 atoms:
Be 0.000 0.000 0.000
Be 0.500 0.500 0.500
Tc 0.000 0.500 0.327
Tc 0.500 0.000 0.827
Te 0.000 0.000 0.650
Te 0.000 0.500 0.890
Te 0.500 0.000 0.390
Te 0.500 0.500 0.150

---

DFT (PBE) results for crystalline CaNbPO2 at its relaxed geometry.

Properties
* formation energy from raw total energies: -1.874 eV/atom
* excess energy over the best structure of this formula in the dataset: 0 meV/atom
* crystal system: tetragonal

abc: 4.026 4.026 5.114
angles: 90.00 90.00 90.00
Fractional coordinates of all 5 atoms:
Ca 0.000 0.000 0.000
Nb 0.500 0.500 0.500
P 0.500 0.500 0.000
O 0.000 0.500 0.500
O 0.500 0.000 0.500

---

DFT (PBE) results for crystalline CaTl6In2 at its relaxed geometry.

Properties
* excess energy over the best structure of this formula in the dataset: 26 meV/atom
* ΔH_f (0 K): -0.5 eV/f.u.
* crystal system: monoclinic

abc: 9.453 9.453 6.277
angles: 98.57 98.57 97.80
Fractional coordinates of all 18 atoms:
Ca 0.101 0.899 0.750
Ca 0.899 0.101 0.250
Tl 0.053 0.247 0.788
Tl 0.081 0.444 0.302
Tl 0.247 0.053 0.288
Tl 0.260 0.645 0.983
Tl 0.355 0.740 0.517
Tl 0.444 0.081 0.802
Tl 0.556 0.919 0.198
Tl 0.645 0.260 0.483
Tl 0.740 0.355 0.017
Tl 0.753 0.947 0.712
Tl 0.919 0.556 0.698
Tl 0.947 0.753 0.212
In 0.360 0.383 0.629
In 0.383 0.360 0.129
In 0.617 0.640 0.871
In 0.640 0.617 0.371

---

DFT (PBE) results for crystalline Li2TiIn2O6 at its relaxed geometry.

Properties
* formation energy from raw total energies: -1.997 eV/atom
* crystal system: monoclinic

abc: 5.494 5.494 5.266
angles: 97.53 97.53 120.28
Fractional coordinates of all 11 atoms:
Li 0.144 0.856 0.000
Li 0.856 0.144 0.000
Ti 0.000 0.000 0.500
In 0.336 0.664 0.500
In 0.664 0.336 0.500
O 0.046 0.360 0.718
O 0.240 0.240 0.280
O 0.360 0.046 0.718
O 0.640 0.954 0.282
O 0.760 0.760 0.720
O 0.954 0.640 0.282

---

DFT (PBE) results for crystalline Li2MgSbO4 at its relaxed geometry.

Properties
* formation energy from raw total energies: -1.908 eV/atom
* crystal system: tetragonal

abc: 4.308 4.308 9.034
angles: 90.00 90.00 90.00
Fractional coordinates of all 16 atoms:
Li 0.000 0.000 0.000
Li 0.000 0.500 0.250
Li 0.500 0.000 0.750
Li 0.500 0.500 0.500
Mg 0.000 0.000 0.500
Mg 0.500 0.500 0.000
Sb 0.000 0.500 0.750
Sb 0.500 0.000 0.250
O 0.000 0.000 0.263
O 0.000 0.000 0.737
O 0.000 0.500 0.516
O 0.000 0.500 0.984
O 0.500 0.000 0.016
O 0.500 0.000 0.484
O 0.500 0.500 0.237
O 0.500 0.500 0.763

---

DFT (PBE) results for crystalline La2CoSiPb at its relaxed geometry.

Properties
* formation energy from raw total energies: -0.472 eV/atom
* crystal system: tetragonal

abc: 5.374 5.374 4.466
angles: 90.00 90.00 90.00
Fractional coordinates of all 5 atoms:
La 0.000 0.500 0.000
La 0.500 0.000 0.000
Co 0.000 0.000 0.000
Si 0.000 0.000 0.500
Pb 0.500 0.500 0.500

---

DFT (PBE) results for crystalline LiCd2Cl at its relaxed geometry.

Properties
* formation energy from raw total energies: -0.422 eV/atom
* excess energy over the best structure of this formula in the dataset: 260 meV/atom
* crystal system: trigonal

abc: 3.537 3.537 25.500
angles: 90.00 90.00 120.00
Fractional coordinates of all 12 atoms:
Li 0.000 0.000 0.000
Li 0.333 0.667 0.667
Li 0.667 0.333 0.333
Cd 0.000 0.000 0.251
Cd 0.000 0.000 0.749
Cd 0.333 0.667 0.416
Cd 0.333 0.667 0.917
Cd 0.667 0.333 0.083
Cd 0.667 0.333 0.584
Cl 0.000 0.000 0.500
Cl 0.333 0.667 0.167
Cl 0.667 0.333 0.833

---

DFT (PBE) results for crystalline UNiMoP2 at its relaxed geometry.

Properties
* ΔH_f (0 K): -2.9 eV/f.u.
* crystal system: tetragonal

abc: 3.825 3.825 10.609
angles: 90.00 90.00 90.00
Fractional coordinates of all 10 atoms:
U 0.000 0.000 0.000
U 0.500 0.500 0.500
Ni 0.000 0.500 0.750
Ni 0.500 0.000 0.250
Mo 0.000 0.500 0.250
Mo 0.500 0.000 0.750
P 0.000 0.000 0.383
P 0.000 0.000 0.617
P 0.500 0.500 0.117
P 0.500 0.500 0.883

---

Number 1: volume 21.0 Å³/atom. Number 2: volume 16.6 Å³/atom. Number 3: volume 30.1 Å³/atom. Number 4: volume 12.0 Å³/atom. Number 5: volume 10.5 Å³/atom. Number 6: volume 25.8 Å³/atom. Number 7: volume 23.0 Å³/atom. Number 8: volume 15.5 Å³/atom.